Entry 1:
Below is a geometry-optimized YSc2Cr structure, with properties calculated at the PBE level.

Cell: 4.7534 4.7534 8.2443 Å, 90.00 90.00 90.00°
Element x y z (fractional)
Y (0.0000, 0.0000, 0.0000)
Y (0.5000, 0.5000, 0.5000)
Sc (0.0000, 0.5000, 0.2500)
Sc (0.0000, 0.5000, 0.7500)
Sc (0.5000, 0.0000, 0.2500)
Sc (0.5000, 0.0000, 0.7500)
Cr (0.0000, 0.0000, 0.5000)
Cr (0.5000, 0.5000, 0.0000)

## Properties
N(E_F) = 8.386 states/eV/cell
VASP energy = -6.899 eV/atom



Entry 2:
Below is a geometry-optimized CeYCdRh structure, with properties calculated at the PBE level.

Cell: 7.2471 7.2471 7.2471 Å, 90.00 90.00 90.00°
Element x y z (fractional)
Ce (0.0000, 0.0000, 0.0000)
Ce (0.0000, 0.5000, 0.5000)
Ce (0.5000, 0.0000, 0.5000)
Ce (0.5000, 0.5000, 0.0000)
Y (0.0000, 0.0000, 0.5000)
Y (0.0000, 0.5000, 0.0000)
Y (0.5000, 0.0000, 0.0000)
Y (0.5000, 0.5000, 0.5000)
Cd (0.2500, 0.2500, 0.2500)
Cd (0.2500, 0.7500, 0.7500)
Cd (0.7500, 0.2500, 0.7500)
Cd (0.7500, 0.7500, 0.2500)
Rh (0.2500, 0.2500, 0.7500)
Rh (0.2500, 0.7500, 0.2500)
Rh (0.7500, 0.2500, 0.2500)
Rh (0.7500, 0.7500, 0.7500)

## Properties
N(E_F) = 28.932 states/eV/cell
VASP energy = -5.565 eV/atom



Entry 3:
Below is a geometry-optimized AlTcSeBr2 structure, with properties calculated at the PBE level.

Cell: 5.3267 5.3267 4.7170 Å, 90.00 90.00 90.00°
Element x y z (fractional)
Al (0.0000, 0.0000, 0.0000)
Tc (0.5000, 0.5000, 0.5000)
Se (0.5000, 0.5000, 0.0000)
Br (0.0000, 0.5000, 0.5000)
Br (0.5000, 0.0000, 0.5000)

## Properties
N(E_F) = 2.924 states/eV/cell
ΔE_f (raw) = 0.180 eV/atom



Entry 4:
Below is a geometry-optimized Cs2Ba2PuO6 structure, with properties calculated at the PBE level.

Cell: 6.5770 6.5770 7.2517 Å, 97.75 97.75 118.48°
Element x y z (fractional)
Cs (0.1648, 0.8352, 0.0000)
Cs (0.8352, 0.1648, 0.0000)
Ba (0.3372, 0.6628, 0.5000)
Ba (0.6628, 0.3372, 0.5000)
Pu (0.0000, 0.0000, 0.5000)
O (0.0418, 0.3149, 0.6597)
O (0.2054, 0.2054, 0.3266)
O (0.3149, 0.0418, 0.6597)
O (0.6851, 0.9582, 0.3403)
O (0.7946, 0.7946, 0.6734)
O (0.9582, 0.6851, 0.3403)

## Properties
N(E_F) = 8.084 states/eV/cell
ΔE_f (raw) = -2.360 eV/atom



Entry 5:
Below is a geometry-optimized NbAgBi2O6 structure, with properties calculated at the PBE level.

Cell: 5.7178 5.7608 10.9453 Å, 90.00 120.31 90.00°
Element x y z (fractional)
Nb (0.0000, 0.0000, 0.0000)
Nb (0.0000, 0.5000, 0.5000)
Ag (0.5000, 0.0000, 0.5000)
Ag (0.5000, 0.5000, 0.0000)
Bi (0.2933, 0.0038, 0.7901)
Bi (0.2933, 0.4962, 0.2901)
Bi (0.7067, 0.5038, 0.7099)
Bi (0.7067, 0.9962, 0.2099)
O (0.0127, 0.6890, 0.3449)
O (0.0127, 0.8110, 0.8449)
O (0.2762, 0.7157, 0.6482)
O (0.2762, 0.7843, 0.1482)
O (0.3206, 0.1800, 0.0182)
O (0.3206, 0.3200, 0.5182)
O (0.6794, 0.6800, 0.4818)
O (0.6794, 0.8200, 0.9818)
O (0.7238, 0.2157, 0.8518)
O (0.7238, 0.2843, 0.3518)
O (0.9873, 0.1890, 0.1551)
O (0.9873, 0.3110, 0.6551)

## Properties
ΔE_f (raw) = -1.510 eV/atom



Entry 6:
Below is a geometry-optimized La3HgO structure, with properties calculated at the PBE level.

Cell: 4.8405 4.8405 8.4784 Å, 90.00 90.00 90.00°
Element x y z (fractional)
La (0.0000, 0.0000, 0.0000)
La (0.0000, 0.5000, 0.6388)
La (0.5000, 0.0000, 0.6388)
Hg (0.0000, 0.0000, 0.3686)
O (0.5000, 0.5000, 0.6268)

## Properties
N(E_F) = 8.803 states/eV/cell
ΔE_f (raw) = -0.717 eV/atom



Entry 7:
Below is a geometry-optimized MgPb2I2O2 structure, with properties calculated at the PBE level.

Cell: 4.1807 4.1807 20.7990 Å, 90.00 90.00 90.00°
Element x y z (fractional)
Mg (0.0000, 0.0000, 0.0000)
Mg (0.5000, 0.5000, 0.5000)
Pb (0.0000, 0.0000, 0.4206)
Pb (0.0000, 0.0000, 0.5794)
Pb (0.5000, 0.5000, 0.0794)
Pb (0.5000, 0.5000, 0.9206)
I (0.0000, 0.0000, 0.1588)
I (0.0000, 0.0000, 0.8412)
I (0.5000, 0.5000, 0.3412)
I (0.5000, 0.5000, 0.6588)
O (0.0000, 0.5000, 0.0000)
O (0.0000, 0.5000, 0.5000)
O (0.5000, 0.0000, 0.0000)
O (0.5000, 0.0000, 0.5000)

## Properties
N(E_F) = 0.000 states/eV/cell
ΔE_f (raw) = -1.251 eV/atom



Entry 8:
Below is a geometry-optimized Dy4Ni2Sn structure, with properties calculated at the PBE level.

Cell: 8.6047 8.6047 6.7341 Å, 107.67 107.67 121.33°
Element x y z (fractional)
Dy (0.0070, 0.9930, 0.5000)
Dy (0.1276, 0.6957, 0.8411)
Dy (0.4051, 0.5636, 0.1598)
Dy (0.5473, 0.9694, 0.7181)
Dy (0.5636, 0.4051, 0.6598)
Dy (0.6957, 0.1276, 0.3411)
Dy (0.9694, 0.5473, 0.2181)
Dy (0.9930, 0.0070, 0.0000)
Ni (0.2789, 0.9526, 0.3178)
Ni (0.6132, 0.7763, 0.9815)
Ni (0.7763, 0.6132, 0.4815)
Ni (0.9526, 0.2789, 0.8178)
Sn (0.2169, 0.4462, 0.5282)
Sn (0.4462, 0.2169, 0.0282)

## Properties
N(E_F) = 11.498 states/eV/cell
VASP energy = -5.282 eV/atom



Entry 9:
Below is a geometry-optimized NaRu structure, with properties calculated at the PBE level.

Cell: 8.1082 7.5842 4.7836 Å, 78.34 66.36 35.30°
Element x y z (fractional)
Na (0.0306, 0.7194, 0.0306)
Na (0.2806, 0.9694, 0.2806)
Na (0.7194, 0.0306, 0.7194)
Na (0.9694, 0.2806, 0.9694)
Ru (0.2918, 0.2918, 0.4582)
Ru (0.4582, 0.4582, 0.2918)
Ru (0.5418, 0.5418, 0.7082)
Ru (0.7082, 0.7082, 0.5418)

## Properties
N(E_F) = 10.281 states/eV/cell
VASP energy = -4.435 eV/atom



Entry 10:
Below is a geometry-optimized La2TbPrY structure, with properties calculated at the PBE level.

Cell: 7.3523 7.3523 6.9356 Å, 90.00 90.00 81.35°
Element x y z (fractional)
La (0.2492, 0.2492, 0.0000)
La (0.2492, 0.2492, 0.5000)
La (0.7508, 0.7508, 0.0000)
La (0.7508, 0.7508, 0.5000)
Tb (0.0901, 0.9099, 0.7500)
Tb (0.9099, 0.0901, 0.2500)
Pr (0.3981, 0.6019, 0.7500)
Pr (0.6019, 0.3981, 0.2500)
Y (0.2479, 0.7521, 0.2500)
Y (0.7521, 0.2479, 0.7500)

## Properties
N(E_F) = 15.356 states/eV/cell
VASP energy = -4.830 eV/atom



Entry 11:
Below is a geometry-optimized Sm2YScTe6 structure, with properties calculated at the PBE level.

Cell: 8.2573 8.2573 8.2573 Å, 55.52 55.52 55.52°
Element x y z (fractional)
Sm (0.0000, 0.0000, 0.0000)
Sm (0.4989, 0.4989, 0.4989)
Y (0.3112, 0.3112, 0.3112)
Sc (0.8125, 0.8125, 0.8125)
Te (0.0708, 0.4295, 0.7070)
Te (0.1955, 0.9171, 0.5842)
Te (0.4295, 0.7070, 0.0708)
Te (0.5842, 0.1955, 0.9171)
Te (0.7070, 0.0708, 0.4295)
Te (0.9171, 0.5842, 0.1955)

## Properties
ΔE_f (raw) = -1.322 eV/atom



Entry 12:
Below is a geometry-optimized CsAg2F4 structure, with properties calculated at the PBE level.

Cell: 8.4630 7.3663 7.1069 Å, 71.54 55.65 52.80°
Element x y z (fractional)
Cs (0.1250, 0.1250, 0.1250)
Cs (0.8750, 0.8750, 0.8750)
Ag (0.0000, 0.5000, 0.5000)
Ag (0.5000, 0.0000, 0.5000)
Ag (0.5000, 0.5000, 0.0000)
Ag (0.5000, 0.5000, 0.5000)
F (0.1919, 0.3373, 0.6881)
F (0.2828, 0.6881, 0.3373)
F (0.3119, 0.7172, 0.8081)
F (0.3373, 0.1919, 0.2828)
F (0.6627, 0.8081, 0.7172)
F (0.6881, 0.2828, 0.1919)
F (0.7172, 0.3119, 0.6627)
F (0.8081, 0.6627, 0.3119)

## Properties
N(E_F) = 7.235 states/eV/cell
ΔE_f (raw) = -1.561 eV/atom



Copy entry 6 word for word.
Below is a geometry-optimized La3HgO structure, with properties calculated at the PBE level.

Cell: 4.8405 4.8405 8.4784 Å, 90.00 90.00 90.00°
Element x y z (fractional)
La (0.0000, 0.0000, 0.0000)
La (0.0000, 0.5000, 0.6388)
La (0.5000, 0.0000, 0.6388)
Hg (0.0000, 0.0000, 0.3686)
O (0.5000, 0.5000, 0.6268)

## Properties
N(E_F) = 8.803 states/eV/cell
ΔE_f (raw) = -0.717 eV/atom